Sr2SeSI | PBE | optimized geometry

Calculated values
- raw formation energy (eV per atom) = -0.81
- magnetization (μB/f.u.) = 0.0
- Fermi-level density of states (states/eV/cell) = 0.77

Cell lengths 5.942, 5.942, 5.527 Å; angles 90.00, 90.00, 90.00 degrees
Fractional positions:
Sr (0.000, 0.500, 0.000)
Sr (0.500, 0.000, 0.000)
Se (0.000, 0.000, 0.000)
S (0.500, 0.500, 0.500)
I (0.000, 0.000, 0.500)